VASP calculation (GGA+U) on MnF4 after structural relaxation.

Calculated values
* theoretical density: 3.4 Mg/m³
* uncorrected energy: -49.82 eV/cell

a b c (Å): 4.6934 5.3751 5.5800
angles (deg): 63.65 89.35 89.98
Last column: nearest neighbours and their distance in Å.
Space group P-1 (No. 2)
Symmetry-distinct sites (fractional):
Mn 0.0000 0.0000 0.0000 (multiplicity 1)  6 F 1.77-1.91
Mn 0.5000 0.5000 0.0000 (multiplicity 1)  6 F 1.77-1.91
F 0.1805 0.8589 0.3079 (multiplicity 2)  1 Mn 1.77
F 0.2493 0.3156 0.8619 (multiplicity 2)  2 Mn 1.91
F 0.2539 0.8155 0.8617 (multiplicity 2)  2 Mn 1.91
F 0.3129 0.3587 0.3087 (multiplicity 2)  1 Mn 1.77